DFT (GGA-PBE) results for crystalline KY2ZnS4 at its relaxed geometry.

Properties
- space-group type = Cmcm (63)
- E_form (uncorrected) (eV per formula unit) = -12.7
- E (eV per atom) = -5.564
- Fermi-level density of states (states/eV per atom) = 0.2736

The structure in CIF format:
```
data_KY2ZnS4
_symmetry_space_group_name_H-M 'P 1'
_symmetry_Int_Tables_number 1
_cell_length_a 3.9265
_cell_length_b 7.1538
_cell_length_c 13.9449
_cell_angle_alpha 90.00
_cell_angle_beta 90.00
_cell_angle_gamma 105.93
loop_
_symmetry_equiv_pos_as_xyz
'x,y,z'
loop_
_atom_site_label
_atom_site_type_symbol
_atom_site_fract_x
_atom_site_fract_y
_atom_site_fract_z
K1 K 0.1102 0.2203 0.7500
K2 K 0.8898 0.7797 0.2500
Y1 Y 0.3731 0.7461 0.5506
Y2 Y 0.6269 0.2539 0.0506
Y3 Y 0.6269 0.2539 0.4494
Y4 Y 0.3731 0.7461 0.9494
Zn1 Zn 0.8330 0.6659 0.7500
Zn2 Zn 0.1670 0.3341 0.2500
S1 S 0.2630 0.5259 0.1125
S2 S 0.7370 0.4741 0.6125
S3 S 0.7370 0.4741 0.8875
S4 S 0.2630 0.5259 0.3875
S5 S 0.0000 0.0000 0.5000
S6 S 0.0000 0.0000 0.0000
S7 S 0.4287 0.8574 0.7500
S8 S 0.5713 0.1426 0.2500
```

***

DFT (GGA-PBE) results for crystalline K4Y3ZrS8 at its relaxed geometry.

Properties
- space-group type = R-3m (166)
- E_form (uncorrected) (eV per formula unit) = -28.3
- E (eV per atom) = -5.855
- Fermi-level density of states (states/eV per atom) = 0.3023

The structure in CIF format:
```
data_K4Y3ZrS8
_symmetry_space_group_name_H-M 'P 1'
_symmetry_Int_Tables_number 1
_cell_length_a 7.9672
_cell_length_b 8.6961
_cell_length_c 7.9678
_cell_angle_alpha 117.28
_cell_angle_beta 120.00
_cell_angle_gamma 90.00
loop_
_symmetry_equiv_pos_as_xyz
'x,y,z'
loop_
_atom_site_label
_atom_site_type_symbol
_atom_site_fract_x
_atom_site_fract_y
_atom_site_fract_z
K1 K 0.5000 0.0000 0.0000
K2 K 0.5000 0.0000 0.5000
K3 K 0.0000 0.0000 0.0000
K4 K 0.0000 0.0000 0.5000
Y1 Y 0.5000 0.5000 0.0000
Y2 Y 0.5000 0.5000 0.5000
Y3 Y 0.0000 0.5000 0.5000
Zr1 Zr 0.0000 0.5000 0.0000
S1 S 0.2275 0.7008 0.9734
S2 S 0.2275 0.7008 0.4551
S3 S 0.2649 0.2949 0.5298
S4 S 0.7459 0.7008 0.9734
S5 S 0.2541 0.2992 0.0266
S6 S 0.7351 0.7051 0.4702
S7 S 0.7725 0.2992 0.5449
S8 S 0.7725 0.2992 0.0266
```